DFT (PBE) results for a relaxed CeMg6W crystal.

Calculated values
Magnetization in μB/f.u.: 0.0
Volume in Å³ per cell: 177
DFT formation energy in meV per atom: 265.2
Energy above the most stable polymorph in this dataset in eV per formula unit: 0.000

Cell lengths 6.5856, 6.5856, 4.8443 Å; angles 90.00, 90.00, 122.47 degrees
Atoms (fractional coordinates):
1 Ce 0.2041 0.7959 0.0000
2 Mg 0.6765 0.8179 0.0000
3 Mg 0.1821 0.3235 0.0000
4 Mg 0.6618 0.3382 0.0000
5 Mg 0.8226 0.6761 0.5000
6 Mg 0.3239 0.1774 0.5000
7 Mg 0.8232 0.1768 0.5000
8 W 0.3057 0.6943 0.5000

---

DFT (PBE) results for a relaxed LaSc2Hg crystal.

Calculated values
Magnetization in μB/f.u.: 0.8
Volume in Å³ per cell: 103
DFT formation energy in meV per atom: -121.0

Cell lengths 5.7714, 5.7714, 5.7714 Å; angles 132.50, 132.50, 69.44 degrees
Each line ends with the local moment (μB).
Atoms (fractional coordinates):
1 Hg 0.5000 0.5000 0.0000  0.00
2 La 0.7500 0.2500 0.5000  0.12
3 Sc 0.0000 0.0000 0.0000  0.15
4 Sc 0.2500 0.7500 0.5000  0.22

---

DFT (PBE) results for a relaxed Nd6ScIn crystal.

Calculated values
Magnetization in μB/f.u.: 0.0
Volume in Å³ per cell: 254
DFT formation energy in meV per atom: -111.8

Cell lengths 5.0076, 5.0076, 10.1465 Å; angles 90.00, 90.00, 90.00 degrees
Atoms (fractional coordinates):
1 Nd 0.5000 0.5000 0.0000
2 Nd 0.5000 0.5000 0.5000
3 Nd 0.5000 0.0000 0.2483
4 Nd 0.5000 0.0000 0.7517
5 Nd 0.0000 0.5000 0.2483
6 Nd 0.0000 0.5000 0.7517
7 Sc 0.0000 0.0000 0.5000
8 In 0.0000 0.0000 0.0000

---

DFT (PBE) results for a relaxed Y2NiAg crystal.

Calculated values
Magnetization in μB/f.u.: 0.0
Volume in Å³ per cell: 88
DFT formation energy in meV per atom: -75.9

Cell lengths 5.8671, 5.8671, 5.8671 Å; angles 138.35, 138.35, 60.37 degrees
Atoms (fractional coordinates):
1 Ag 0.5000 0.5000 0.0000
2 Ni 0.7500 0.2500 0.5000
3 Y 0.0000 0.0000 0.0000
4 Y 0.2500 0.7500 0.5000

---

DFT (PBE) results for a relaxed Tb7AsBr12 crystal.

Calculated values
Magnetization in μB/f.u.: 0.0
Volume in Å³ per cell: 629
Formation energy without anion corrections in kJ/mol of atoms: -160.60

Cell lengths 9.1958, 9.1958, 9.1958 Å; angles 108.00, 108.00, 108.00 degrees
Atoms (fractional coordinates):
1 Tb 0.9661 0.6775 0.8916
2 Tb 0.3225 0.1084 0.0339
3 Tb 0.1084 0.0339 0.3225
4 Tb 0.5000 0.5000 0.5000
5 Tb 0.8916 0.9661 0.6775
6 Tb 0.6775 0.8916 0.9661
7 Tb 0.0339 0.3225 0.1084
8 As 0.0000 0.0000 0.0000
9 Br 0.9233 0.3125 0.7735
10 Br 0.6875 0.2265 0.0767
11 Br 0.4690 0.1593 0.3890
12 Br 0.8407 0.6110 0.5310
13 Br 0.2265 0.0767 0.6875
14 Br 0.6110 0.5310 0.8407
15 Br 0.3890 0.4690 0.1593
16 Br 0.7735 0.9233 0.3125
17 Br 0.1593 0.3890 0.4690
18 Br 0.5310 0.8407 0.6110
19 Br 0.3125 0.7735 0.9233
20 Br 0.0767 0.6875 0.2265

---

DFT (PBE) results for a relaxed LuMgPaAl crystal.

Calculated values
Magnetization in μB/f.u.: 0.0
Volume in Å³ per cell: 94
DFT formation energy in meV per atom: 48.5

Cell lengths 5.1077, 5.1077, 5.1077 Å; angles 60.00, 60.00, 60.00 degrees
Atoms (fractional coordinates):
1 Mg 0.0000 0.0000 0.0000
2 Pa 0.2500 0.2500 0.2500
3 Lu 0.7500 0.7500 0.7500
4 Al 0.5000 0.5000 0.5000

---

DFT (PBE) results for a relaxed TaAlHg crystal.

Calculated values
Magnetization in μB/f.u.: 0.0
Volume in Å³ per cell: 54
DFT formation energy in meV per atom: 261.2
Energy above the most stable polymorph in this dataset in eV per formula unit: 0.353

Cell lengths 4.6209, 4.6209, 2.9415 Å; angles 90.00, 90.00, 120.00 degrees
Atoms (fractional coordinates):
1 Al 0.0000 0.0000 0.1660
2 Hg 0.6667 0.3333 0.1672
3 Ta 0.3333 0.6667 0.6668

---

DFT (PBE) results for a relaxed CeVP3 crystal.

Calculated values
Magnetization in μB/f.u.: 0.5
Volume in Å³ per cell: 346
DFT formation energy in meV per atom: -874.9

Cell lengths 5.3955, 5.3147, 12.0645 Å; angles 90.00, 90.00, 90.00 degrees
Each line ends with the local moment (μB).
Atoms (fractional coordinates):
1 Ce 0.7500 0.4989 0.6876  0.38
2 Ce 0.2500 0.5011 0.3124  0.38
3 Ce 0.7500 0.9989 0.3124  0.38
4 Ce 0.2500 0.0011 0.6876  0.38
5 V 0.5000 0.2500 0.0772  0.08
6 V 0.0000 0.7500 0.9228  0.08
7 V 0.5000 0.7500 0.9228  0.08
8 V 0.0000 0.2500 0.0772  0.08
9 P 0.0000 0.2500 0.4994  0.00
10 P 0.5000 0.7500 0.5006  0.00
11 P 0.0000 0.7500 0.5006  0.00
12 P 0.5000 0.2500 0.4994  0.00
13 P 0.2500 0.1216 0.9229  0.00
14 P 0.7500 0.8784 0.0771  0.00
15 P 0.2500 0.6216 0.0771  0.00
16 P 0.7500 0.3784 0.9229  0.00
17 P 0.2500 0.4926 0.7946  -0.01
18 P 0.7500 0.5074 0.2054  -0.01
19 P 0.2500 0.9926 0.2054  -0.01
20 P 0.7500 0.0074 0.7946  -0.01

---

DFT (PBE) results for a relaxed NpPaV4 crystal.

Calculated values
Magnetization in μB/f.u.: 2.9
Volume in Å³ per cell: 101
DFT formation energy in meV per atom: 181.3

Cell lengths 5.2278, 5.2278, 5.2278 Å; angles 60.00, 60.00, 60.00 degrees
Each line ends with the local moment (μB).
Atoms (fractional coordinates):
1 Np 0.2500 0.2500 0.2500  3.15
2 Pa 0.0000 0.0000 0.0000  0.21
3 V 0.6251 0.6251 0.1248  -0.15
4 V 0.6251 0.1248 0.6251  -0.15
5 V 0.6251 0.6251 0.6251  -0.15
6 V 0.1248 0.6251 0.6251  -0.15

---

Let's list DOS(E_F) in order: 0.734, 1.410, 1.234, 1.092, 0.190, 1.404, 0.524, 1.096, 1.908 states/eV per atom.
Let's list total energy in order: -3.29, -4.59, -4.82, -5.47, -4.52, -4.79, -5.04, -7.13, -9.64 eV per atom.